DFT (PBE) results for a relaxed structure of Sm6ZnOs2Br3.

Summary:
E_tot: -5.48 eV per atom
ρ: 7.669 Mg/m³
energy relative to the elements, uncorrected: -0.729 eV/atom

Lattice parameters (Å, degrees): 7.1395 12.3783 8.1343 90.00 106.97 90.00
Space group C2/m (No. 12)
One atom of each set of equivalent atoms:
1 Sm 0.2099 0.0000 0.2005 x4
2 Sm 0.2450 0.3215 0.2002 x8
3 Zn 0.0000 0.5000 0.0000 x2
4 Os 0.0000 0.1664 0.0000 x4
5 Br 0.0000 0.0000 0.5000 x2
6 Br 0.0000 0.3320 0.5000 x4